# 1
{"formula": "NaSrHfSbO6", "functional": "PBE-GGA", "state": "optimized geometry", "m_tot_mub_per_atom": 0.000, "total_energy_ev_per_atom": -7.176, "n_ef_per_ev_fu": 0.0, "formation_energy_uncorrected_ev_per_atom": -2.493, "crystal_system": "cubic", "spacegroup": "F-43m, No. 216", "lattice_angstrom": [[0.000, 4.052, 4.052], [4.052, 0.000, 4.052], [4.052, 4.052, 0.000]], "species": ["Na", "Sr", "Hf", "Sb", "O", "O", "O", "O", "O", "O"], "frac_coords": [[0.250, 0.250, 0.250], [0.750, 0.750, 0.750], [0.000, 0.000, 0.000], [0.500, 0.500, 0.500], [0.254, 0.746, 0.254], [0.746, 0.254, 0.746], [0.254, 0.746, 0.746], [0.746, 0.254, 0.254], [0.254, 0.254, 0.746], [0.746, 0.746, 0.254]]}

***

# 2
{"formula": "Na3HfSc3O8", "functional": "PBE-GGA", "state": "optimized geometry", "m_tot_mub_per_atom": 0.000, "total_energy_ev_per_atom": -7.804, "n_ef_per_ev_fu": 0.0, "formation_energy_uncorrected_ev_per_atom": -2.966, "crystal_system": "trigonal", "spacegroup": "R-3m, No. 166", "lattice_angstrom": [[-2.818, -0.667, 5.682], [-0.570, -4.582, -4.400], [5.895, 0.808, 3.018]], "species": ["Na", "Na", "Na", "Hf", "Sc", "Sc", "Sc", "O", "O", "O", "O", "O", "O", "O", "O"], "frac_coords": [[0.000, 0.000, 0.000], [0.000, 0.500, 0.000], [0.500, 0.500, 0.000], [0.000, 0.000, 0.500], [0.500, 0.000, 0.500], [0.500, 0.500, 0.500], [0.000, 0.500, 0.500], [0.267, 0.534, 0.302], [0.733, 0.466, 0.698], [0.773, 0.547, 0.306], [0.227, 0.453, 0.694], [0.773, 0.033, 0.306], [0.227, 0.967, 0.694], [0.259, 0.033, 0.306], [0.741, 0.967, 0.694]]}

***

# 3
{"formula": "NaHfSeO5", "functional": "PBE-GGA", "state": "optimized geometry", "m_tot_mub_per_atom": 0.124, "total_energy_ev_per_atom": -6.797, "n_ef_per_ev_fu": 1.0, "formation_energy_uncorrected_ev_per_atom": -1.853, "crystal_system": "monoclinic", "spacegroup": "C2/c, No. 15", "lattice_angstrom": [[5.760, 0.345, -0.156], [-1.351, 5.610, -0.156], [-2.022, -2.731, 7.150]], "species": ["Na", "Na", "Hf", "Hf", "Se", "Se", "O", "O", "O", "O", "O", "O", "O", "O", "O", "O"], "frac_coords": [[0.315, 0.685, 0.250], [0.685, 0.315, 0.750], [0.000, 0.000, 0.500], [0.000, 0.000, 0.000], [0.688, 0.312, 0.250], [0.312, 0.688, 0.750], [0.044, 0.956, 0.250], [0.956, 0.044, 0.750], [0.851, 0.313, 0.076], [0.149, 0.687, 0.924], [0.687, 0.149, 0.424], [0.313, 0.851, 0.576], [0.743, 0.626, 0.386], [0.257, 0.374, 0.614], [0.374, 0.257, 0.114], [0.626, 0.743, 0.886]]}

***

# 4
{"formula": "NaHfSe2O8", "functional": "PBE-GGA", "state": "optimized geometry", "m_tot_mub_per_atom": 0.000, "total_energy_ev_per_atom": -6.241, "n_ef_per_ev_fu": 2.3, "formation_energy_uncorrected_ev_per_atom": -1.416, "crystal_system": "monoclinic", "spacegroup": "C2/m, No. 12", "lattice_angstrom": [[5.214, -0.271, -0.135], [2.165, 4.751, -0.135], [0.142, 0.086, 7.318]], "species": ["Na", "Hf", "Se", "Se", "O", "O", "O", "O", "O", "O", "O", "O"], "frac_coords": [[0.000, 0.000, 0.500], [0.000, 0.000, 0.000], [0.636, 0.636, 0.230], [0.364, 0.364, 0.770], [0.730, 0.207, 0.791], [0.764, 0.764, 0.051], [0.723, 0.723, 0.431], [0.277, 0.277, 0.569], [0.236, 0.236, 0.949], [0.207, 0.730, 0.791], [0.793, 0.270, 0.209], [0.270, 0.793, 0.209]]}

***

# 5
{"formula": "NaHfSi2O", "functional": "PBE-GGA", "state": "optimized geometry", "m_tot_mub_per_atom": 0.002, "total_energy_ev_per_atom": -5.748, "n_ef_per_ev_fu": 3.2, "formation_energy_uncorrected_ev_per_atom": -0.333, "crystal_system": "tetragonal", "spacegroup": "P4/mmm, No. 123", "lattice_angstrom": [[-0.706, -4.470, 3.014], [3.911, -0.379, 0.354], [-0.111, 3.052, 4.499]], "species": ["Na", "Si", "Si", "Hf", "O"], "frac_coords": [[0.500, 0.500, 0.500], [0.000, 0.000, 0.500], [0.500, 0.000, 0.000], [0.000, 0.000, 0.000], [0.000, 0.500, 0.000]]}

***

# 6
{"formula": "NaSmHf2O6", "functional": "PBE-GGA", "state": "optimized geometry", "m_tot_mub_per_atom": 0.000, "total_energy_ev_per_atom": -8.649, "n_ef_per_ev_fu": 0.0, "formation_energy_uncorrected_ev_per_atom": -3.080, "crystal_system": "cubic", "spacegroup": "Fm-3m, No. 225", "lattice_angstrom": [[-2.430, -1.170, 5.120], [-4.716, 2.896, 1.694], [-5.120, -2.688, 0.226]], "species": ["Na", "Sm", "Hf", "Hf", "O", "O", "O", "O", "O", "O"], "frac_coords": [[0.500, 0.500, 0.500], [0.000, 0.000, 0.000], [0.250, 0.250, 0.250], [0.750, 0.750, 0.750], [0.500, 0.000, 0.000], [0.000, 0.500, 0.500], [0.500, 0.000, 0.500], [0.000, 0.500, 0.000], [0.000, 0.000, 0.500], [0.500, 0.500, 0.000]]}